[1]
An optimized crystal structure of MgGaICl2, computed with GGA-PBE.

The structure belongs to space group P4/mmm (No. 123); the cell edges are 4.8879, 4.8879 and 6.0735 Å and the angles 90.00°, 90.00° and 90.00°. The inequivalent atoms are Mg at (0.0000, 0.0000, 0.0000), Ga at (0.5000, 0.5000, 0.5000), I at (0.0000, 0.0000, 0.5000) and Cl at (0.0000, 0.5000, 0.0000).

The polymorph energy (0 for the lowest one) comes out at 0.000 eV per atom. The calculation puts the calculated density at 3.340 g/cm3. The value obtained for the total energy is -3.063 eV/atom. The crystal system is tetragonal. As for the uncorrected formation energy: -1090 meV/atom.

[2]
An optimized crystal structure of Cr2Sn2B, computed with GGA-PBE.

The structure belongs to space group P4/mbm (No. 127); the cell edges are 6.5616, 6.5616 and 4.0621 Å and the angles 90.00°, 90.00° and 90.00°. The inequivalent atoms are Cr at (0.1104, 0.3896, 0.0000), Sn at (0.1768, 0.6768, 0.5000) and B at (0.0000, 0.0000, 0.5000).

The polymorph energy (0 for the lowest one) comes out at 0.212 eV per atom. The calculation puts the calculated density at 6.688 g/cm3. The value obtained for the total energy is -5.622 eV/atom. The crystal system is tetragonal.

[3]
An optimized crystal structure of CaCdPb, computed with GGA-PBE.

The structure belongs to space group P-1 (No. 2); the cell edges are 4.8469, 6.0281 and 6.6398 Å and the angles 105.78°, 90.01° and 113.47°. The inequivalent atoms are Ca at (0.1526, 0.3060, 0.3046), Cd at (0.5000, 0.0000, 0.0000), Cd at (0.5000, 0.0000, 0.5000) and Pb at (0.1674, 0.3285, 0.8121).

The calculation puts the calculated density at 7.029 g/cm3. The value obtained for the total energy is -2.512 eV/atom. The crystal system is triclinic.

[4]
An optimized crystal structure of KTc2, computed with GGA-PBE.

The structure belongs to space group Cmcm (No. 63); the cell edges are 2.8770, 24.2873 and 4.6383 Å and the angles 90.00°, 90.00° and 90.00°. The inequivalent atoms are K at (0.0000, 0.0857, 0.2500), Tc at (0.0000, 0.2859, 0.7500) and Tc at (0.0000, 0.3049, 0.2500).

The polymorph energy (0 for the lowest one) comes out at 0.211 eV per atom. The calculation puts the calculated density at 4.818 g/cm3. The value obtained for the total energy is -6.493 eV/atom. The crystal system is orthorhombic.